Below is a geometry-optimized CuIr8 structure, with properties calculated at the PBEsol level.

a = 3.8204 Å, b = 6.0301 Å, c = 6.0301 Å
α = 84.24°, β = 71.53°, γ = 71.53°
Fractional coordinates of all 9 atoms:
Ir  0.3307  0.0000  0.3386
Ir  0.6693  0.0000  0.6614
Ir  0.3307  0.3386  0.0000
Ir  0.6672  0.3328  0.3328
Ir  0.3328  0.6672  0.6672
Ir  0.0000  0.3328  0.6672
Ir  0.6693  0.6614  0.0000
Ir  0.0000  0.6672  0.3328
Cu  0.0000  0.0000  0.0000

Space group: No. 139
Total moment (μB/f.u.): 0.000
Energy relative to the elements (eV/atom): 0.088


Below is a geometry-optimized Cu3Ir structure, with properties calculated at the PBEsol level.

a = 2.5942 Å, b = 4.4542 Å, c = 4.9430 Å
α = 116.82°, β = 105.22°, γ = 90.00°
Fractional coordinates of all 4 atoms:
Ir  0.0001  0.6622  0.9999
Cu  0.5000  0.1636  0.0001
Cu  0.7517  0.7549  0.5026
Cu  0.2484  0.2523  0.4974

Space group: No. 44
Total moment (μB/f.u.): 0.001
Energy relative to the elements (eV/atom): 0.099


Below is a geometry-optimized Cu5Ir structure, with properties calculated at the PBEsol level.

a = 2.5922 Å, b = 4.2078 Å, c = 6.6799 Å
α = 90.00°, β = 101.19°, γ = 90.00°
Fractional coordinates of all 6 atoms:
Cu  0.6684  0.0000  0.3367
Cu  0.0049  0.0000  0.0097
Cu  0.2165  0.5000  0.4330
Cu  0.3352  0.0000  0.6704
Cu  0.5562  0.5000  0.1123
Ir  0.8856  0.5000  0.7712

Space group: No. 38
Polymorph energy (0 for the lowest one) (meV per atom): 7
Total moment (μB/f.u.): 0.001
Energy relative to the elements (eV/atom): 0.084


Below is a geometry-optimized Cu3Ir structure, with properties calculated at the PBEsol level.

a = 2.6159 Å, b = 4.4174 Å, c = 4.4174 Å
α = 107.57°, β = 90.00°, γ = 90.00°
Fractional coordinates of all 4 atoms:
Ir  0.0000  0.5000  0.5000
Cu  0.0000  0.0000  0.0000
Cu  0.5000  0.0000  0.5000
Cu  0.5000  0.5000  0.0000

Space group: No. 65
Total moment (μB/f.u.): 0.000
Energy relative to the elements (eV/atom): 0.083


Below is a geometry-optimized Cu5Ir structure, with properties calculated at the PBEsol level.

a = 2.5539 Å, b = 4.9300 Å, c = 6.0972 Å
α = 105.18°, β = 90.00°, γ = 105.01°
Fractional coordinates of all 6 atoms:
Cu  0.3362  0.6724  0.6627
Cu  0.6663  0.3326  0.3377
Cu  0.3901  0.7802  0.2832
Cu  0.9997  0.9994  0.0039
Cu  0.0531  0.1061  0.6039
Ir  0.7214  0.4427  0.9419

Space group: No. 8
Polymorph energy (0 for the lowest one) (meV per atom): 0
Total moment (μB/f.u.): 0.001
Energy relative to the elements (eV/atom): 0.077


Below is a geometry-optimized Cu3Ir structure, with properties calculated at the PBEsol level.

a = 2.6092 Å, b = 2.6092 Å, c = 8.4484 Å
α = 81.12°, β = 81.12°, γ = 60.00°
Fractional coordinates of all 4 atoms:
Cu  0.0000  0.0000  0.0000
Cu  0.2532  0.2532  0.2403
Cu  0.7468  0.7468  0.7597
Ir  0.5000  0.5000  0.5000

Space group: No. 166
Total moment (μB/f.u.): 0.000
Energy relative to the elements (eV/atom): 0.065


total moment of number 2 (Cu3Ir)?
0.001 μB/f.u.


Which of these has the lowest energy relative to the elements?
number 6


Which value of total moment does entry 1 give?
0.000 μB/f.u.